Entry from Alexandria via LeMat-Bulk: K2US5 after structural relaxation (GGA-PBE).

It has space group P1 (No. 1), with a = 5.8022 Å, b = 7.1846 Å, c = 7.8619 Å, α = 116.74°, β = 90.05° and γ = 113.76°. The asymmetric unit holds K at (0.0000, 0.0000, 0.0000), K at (0.3842, 0.7675, 0.3521), U at (0.2200, 0.4394, 0.7031), S at (0.4237, 0.8476, 0.7766), S at (0.4523, 0.2897, 0.4347), S at (0.5243, 0.4848, 0.9514), S at (0.8377, 0.2896, 0.4347) and S at (0.9614, 0.4846, 0.9514).

The spin magnetization is 0.0 μB per cell. Its crystal system is triclinic. The calculation puts the total energy at -5.1338 eV/atom.

---

Entry from Alexandria via LeMat-Bulk: KU6S12 after structural relaxation (GGA-PBE).

It has space group R-3m (No. 166, hexagonal axes), with a = 12.9277 Å, b = 12.9277 Å, c = 9.5291 Å, α = 90.00°, β = 90.00° and γ = 120.00°. The asymmetric unit holds K at (0.0000, 0.0000, 0.0000), U at (0.0638, 0.5319, 0.2788), S at (0.0000, 0.3705, 0.5000) and S at (0.0859, 0.1718, 0.3515).

The spin magnetization is 39.0 μB per cell. Its crystal system is trigonal. The calculation puts the total energy at -7.4949 eV/atom.

---

Entry from Alexandria via LeMat-Bulk: KU4S6 after structural relaxation (GGA-PBE).

It has space group I-42m (No. 121), with a = 7.5020 Å, b = 7.5020 Å, c = 9.6935 Å, α = 90.00°, β = 90.00° and γ = 90.00°. The asymmetric unit holds K at (0.0000, 0.0000, 0.0000), U at (0.1732, 0.1732, 0.5828), S at (0.0000, 0.5000, 0.0000) and S at (0.1579, 0.1579, 0.2909).

The spin magnetization is 22.0 μB per cell. Its crystal system is tetragonal. The calculation puts the total energy at -7.4991 eV/atom.

---

Entry from Alexandria via LeMat-Bulk: K4US5 after structural relaxation (GGA-PBE).

It has space group I4 (No. 79), with a = 9.9768 Å, b = 9.9768 Å, c = 6.1424 Å, α = 90.00°, β = 90.00° and γ = 90.00°. The asymmetric unit holds K at (0.1047, 0.7025, 0.0000), U at (0.0000, 0.0000, 0.5273), S at (0.0000, 0.0000, 0.9449) and S at (0.0739, 0.7587, 0.4995).

The spin magnetization is 0.0 μB per cell. Its crystal system is tetragonal. The calculation puts the total energy at -4.9016 eV/atom.

---

Entry from Alexandria via LeMat-Bulk: KU4S8 after structural relaxation (GGA-PBE).

It has space group C2/m (No. 12), with a = 13.8352 Å, b = 7.9967 Å, c = 10.4353 Å, α = 90.00°, β = 130.93° and γ = 90.00°. The asymmetric unit holds K at (0.0000, 0.0000, 0.0000), U at (0.0000, 0.2518, 0.5000), U at (0.2409, 0.5000, 0.4827), S at (0.0014, 0.0000, 0.3257), S at (0.0112, 0.5000, 0.6849) and S at (0.2429, 0.2392, 0.3187).

The spin magnetization is 18.0 μB per cell. The offset from the most stable computed form comes out at 0.00 eV/f.u. Its crystal system is monoclinic.

---

Entry from Alexandria via LeMat-Bulk: K3US4 after structural relaxation (GGA-PBE).

It has space group P2/c (No. 13), with a = 7.7912 Å, b = 8.8146 Å, c = 7.2599 Å, α = 90.00°, β = 109.58° and γ = 90.00°. The asymmetric unit holds K at (0.0000, 0.1151, 0.2500), K at (0.5000, 0.1192, 0.7500), K at (0.5000, 0.3824, 0.2500), U at (0.0000, 0.3790, 0.7500), S at (0.1898, 0.4026, 0.5012) and S at (0.2181, 0.1765, 0.9533).

The spin magnetization is 2.0 μB per cell. The offset from the most stable computed form comes out at 0.00 eV/f.u. Its crystal system is monoclinic.

---

Entry from Alexandria via LeMat-Bulk: KUS after structural relaxation (GGA-PBE).

It has space group P1 (No. 1), with a = 3.7208 Å, b = 3.7209 Å, c = 13.6193 Å, α = 95.01°, β = 92.05° and γ = 119.98°. The asymmetric unit holds K at (0.0000, 0.0000, 0.0000), K at (0.2678, 0.3547, 0.6924), U at (0.1537, 0.2039, 0.3976), U at (0.4455, 0.8156, 0.2903), S at (0.7297, 0.4171, 0.1633) and S at (0.8697, 0.6027, 0.5252).

The spin magnetization is 0.0 μB per cell. Its crystal system is triclinic. The calculation puts the total energy at -6.4240 eV/atom.

---

Entry from Alexandria via LeMat-Bulk: KU6S8 after structural relaxation (GGA-PBE).

It has space group R-3 (No. 148, hexagonal axes), with a = 11.2190 Å, b = 11.2190 Å, c = 12.0271 Å, α = 90.00°, β = 90.00° and γ = 120.00°. The asymmetric unit holds K at (0.0000, 0.0000, 0.0000), U at (0.0441, 0.8471, 0.4346), S at (0.0000, 0.0000, 0.2864) and S at (0.0013, 0.3179, 0.3828).

The spin magnetization is 15.3 μB per cell. Its crystal system is trigonal. The calculation puts the total energy at -7.8405 eV/atom.

---

Entry from Alexandria via LeMat-Bulk: K3U2S9 after structural relaxation (GGA-PBE).

It has space group P-3m1 (No. 164), with a = 7.2109 Å, b = 7.2109 Å, c = 8.3273 Å, α = 90.00°, β = 90.00° and γ = 120.00°. The asymmetric unit holds K at (0.0000, 0.0000, 0.0000), K at (0.3333, 0.6667, 0.3303), U at (0.3333, 0.6667, 0.8092), S at (0.0000, 0.5000, 0.0000) and S at (0.1671, 0.3341, 0.6503).

The spin magnetization is 0.0 μB per cell. Its crystal system is trigonal. The calculation puts the total energy at -5.4136 eV/atom.

---

Entry from Alexandria via LeMat-Bulk: K3U2S6 after structural relaxation (GGA-PBE).

It has space group I4/mmm (No. 139), with a = 5.1980 Å, b = 5.1980 Å, c = 25.6552 Å, α = 90.00°, β = 90.00° and γ = 90.00°. The asymmetric unit holds K at (0.0000, 0.0000, 0.0000), K at (0.0000, 0.0000, 0.1824), U at (0.0000, 0.0000, 0.4027), S at (0.0000, 0.0000, 0.3077) and S at (0.0000, 0.5000, 0.0813).

The spin magnetization is 6.0 μB per cell. Its crystal system is tetragonal. The calculation puts the total energy at -5.8588 eV/atom.

---

Entry from Alexandria via LeMat-Bulk: K2U3S9 after structural relaxation (GGA-PBE).

It has space group C2/c (No. 15), with a = 14.2337 Å, b = 8.2527 Å, c = 11.5480 Å, α = 90.00°, β = 114.11° and γ = 90.00°. The asymmetric unit holds K at (0.1633, 0.0804, 0.2492), U at (0.0793, 0.2650, 0.5005), U at (0.2500, 0.2500, 0.0000), S at (0.0000, 0.3021, 0.2500), S at (0.0654, 0.0751, 0.9467), S at (0.1065, 0.4118, 0.0561), S at (0.1448, 0.2764, 0.7507) and S at (0.2372, 0.4120, 0.4483).

The spin magnetization is 8.0 μB per cell. Its crystal system is monoclinic. The calculation puts the total energy at -6.2834 eV/atom.

---

Entry from Alexandria via LeMat-Bulk: K5US4 after structural relaxation (GGA-PBE).

It has space group C2/m (No. 12), with a = 18.8847 Å, b = 4.2771 Å, c = 8.7733 Å, α = 90.00°, β = 99.55° and γ = 90.00°. The asymmetric unit holds K at (0.0000, 0.0000, 0.0000), K at (0.1591, 0.5000, 0.8168), K at (0.1762, 0.5000, 0.3439), U at (0.0000, 0.0000, 0.5000), S at (0.0063, 0.5000, 0.2917) and S at (0.1418, 0.0000, 0.5674).

The spin magnetization is 3.6 μB per cell. Its crystal system is monoclinic. The calculation puts the total energy at -4.4330 eV/atom.

---

What did the fourth record say?
Entry from Alexandria via LeMat-Bulk: K4US5 after structural relaxation (GGA-PBE).

It has space group I4 (No. 79), with a = 9.9768 Å, b = 9.9768 Å, c = 6.1424 Å, α = 90.00°, β = 90.00° and γ = 90.00°. The asymmetric unit holds K at (0.1047, 0.7025, 0.0000), U at (0.0000, 0.0000, 0.5273), S at (0.0000, 0.0000, 0.9449) and S at (0.0739, 0.7587, 0.4995).

The spin magnetization is 0.0 μB per cell. Its crystal system is tetragonal. The calculation puts the total energy at -4.9016 eV/atom.

---

> Look up the spin magnetization of the eleventh one.

8.0 μB per cell